Here is a geometry-optimized VNi2Ru structure from Alexandria via LeMat-Bulk. Energies are from GGA-PBE.

E in eV/atom: -7.692
Energy relative to the elements in eV per atom: -0.202
DOS(E_F) in states/eV per atom: 1.187
Energy relative to the lowest polymorph listed for this composition in eV per formula unit: 0.00

Unit cell a=3.5767 b=3.5767 c=3.7882 alpha=90.00 beta=90.00 gamma=90.00
Closest atoms and distances in Å follow each position.
Space group P4/mmm (No. 123)
Unique sites:
1 V 0.0000 0.0000 0.0000  4 Ru 2.53, 8 Ni 2.60
2 Ni 0.0000 0.5000 0.5000  4 Ni 2.53, 4 Ru 2.60, 4 V 2.60
3 Ru 0.5000 0.5000 0.0000  4 V 2.53, 8 Ni 2.60